Entry 1:
Pm2CoOsO8, relaxed, DFT PBE+U; total magnetization = 2.95 Bohr magnetons per cell; E_tot = -88.565 eV for the cell shown; mass density = 7.24 g/cm³
1.0
4.216 0.000 0.000
0.606 5.301 0.000
0.538 0.890 6.848
Pm Co Os O
2 1 1 8
Direct
0.177 0.019 0.233
0.823 0.981 0.767
0.500 0.500 0.000
0.500 0.500 0.500
0.196 0.773 0.543
0.278 0.266 0.666
0.284 0.823 0.949
0.296 0.445 0.269
0.704 0.555 0.731
0.716 0.177 0.051
0.722 0.734 0.334
0.804 0.227 0.457

---

Entry 2:
Pr2CoOsO8, relaxed, DFT PBE+U; total magnetization = 2.96 Bohr magnetons per cell; E_tot = -88.401 eV for the cell shown; mass density = 6.93 g/cm³
1.0
4.263 0.000 0.000
0.631 5.338 0.000
0.543 0.907 6.941
Pr Co Os O
2 1 1 8
Direct
0.184 0.019 0.233
0.816 0.981 0.767
0.500 0.500 0.000
0.500 0.500 0.500
0.198 0.770 0.546
0.279 0.265 0.658
0.288 0.823 0.947
0.299 0.454 0.271
0.701 0.546 0.729
0.712 0.177 0.053
0.721 0.735 0.342
0.802 0.230 0.454

---

Entry 3:
Rb2CoOs3O12, relaxed, DFT PBE+U; total magnetization = 0.00 Bohr magnetons per cell; E_tot = -120.772 eV for the cell shown; mass density = 6.38 g/cm³
1.0
3.628 2.095 5.664
-3.628 2.095 5.664
0.000 -4.189 5.664
Rb Co Os O
2 1 3 12
Direct
0.127 0.127 0.127
0.873 0.873 0.873
0.500 0.500 0.500
0.000 0.500 0.500
0.500 0.000 0.500
0.500 0.500 0.000
0.181 0.181 0.565
0.181 0.565 0.181
0.186 0.563 0.563
0.435 0.819 0.819
0.437 0.437 0.814
0.437 0.814 0.437
0.563 0.186 0.563
0.563 0.563 0.186
0.565 0.181 0.181
0.814 0.437 0.437
0.819 0.435 0.819
0.819 0.819 0.435

---

Entry 4:
CoOsRhO6, relaxed, DFT PBE+U; total magnetization = 4.14 Bohr magnetons per cell; E_tot = -122.041 eV for the cell shown; mass density = 7.53 g/cm³
1.0
5.030 0.000 0.000
-2.515 4.356 0.000
0.000 0.000 9.025
Co Os Rh O
2 2 2 12
Direct
0.000 0.000 0.000
0.000 0.000 0.500
0.333 0.667 0.250
0.667 0.333 0.750
0.333 0.667 0.750
0.667 0.333 0.250
0.015 0.352 0.129
0.015 0.663 0.371
0.337 0.352 0.371
0.337 0.985 0.129
0.352 0.015 0.629
0.352 0.337 0.871
0.648 0.663 0.129
0.648 0.985 0.371
0.663 0.015 0.871
0.663 0.648 0.629
0.985 0.337 0.629
0.985 0.648 0.871

---

Entry 5:
CoOsRuO6, relaxed, DFT PBE+U; total magnetization = 1.73 Bohr magnetons per cell; E_tot = -126.257 eV for the cell shown; mass density = 8.23 g/cm³
1.0
4.804 0.000 0.000
-2.402 4.160 0.000
0.000 0.000 9.006
Co Os Ru O
2 2 2 12
Direct
0.000 0.000 0.000
0.000 0.000 0.500
0.333 0.667 0.250
0.667 0.333 0.750
0.333 0.667 0.750
0.667 0.333 0.250
0.007 0.332 0.121
0.007 0.675 0.379
0.325 0.332 0.379
0.325 0.993 0.121
0.332 0.007 0.621
0.332 0.325 0.879
0.668 0.675 0.121
0.668 0.993 0.379
0.675 0.007 0.879
0.675 0.668 0.621
0.993 0.325 0.621
0.993 0.668 0.879

---

Entry 6:
Co2SnOsO8, relaxed, DFT PBE+U; total magnetization = 0.00 Bohr magnetons per cell; E_tot = -77.435 eV for the cell shown; mass density = 7.38 g/cm³
1.0
4.490 0.000 0.000
0.000 6.185 0.000
-0.020 0.000 4.494
Co Sn Os O
2 1 1 8
Direct
0.000 0.248 0.000
0.000 0.752 0.000
0.500 0.500 0.500
0.500 0.000 0.500
0.180 0.500 0.179
0.200 0.000 0.199
0.297 0.235 0.702
0.297 0.765 0.702
0.703 0.235 0.298
0.703 0.765 0.298
0.800 0.000 0.801
0.820 0.500 0.821

---

Entry 7:
SrCoOsO6, relaxed, DFT PBE+U; total magnetization = 1.05 Bohr magnetons per cell; E_tot = -60.871 eV for the cell shown; mass density = 5.93 g/cm³
1.0
5.113 0.000 0.000
-2.556 4.428 0.000
0.000 0.000 5.350
Sr Co Os O
1 1 1 6
Direct
0.000 0.000 0.000
0.333 0.667 0.500
0.667 0.333 0.500
0.001 0.388 0.698
0.001 0.613 0.302
0.387 0.388 0.302
0.387 0.999 0.698
0.612 0.613 0.698
0.612 0.999 0.302

---

Entry 8:
SrCoOs2O8, relaxed, DFT PBE+U; total magnetization = 2.33 Bohr magnetons per cell; E_tot = -84.114 eV for the cell shown; mass density = 7.14 g/cm³
1.0
3.549 -3.371 0.000
3.549 3.371 0.000
-0.343 0.000 6.369
Sr Co Os O
1 1 2 8
Direct
0.000 0.000 0.000
0.000 0.000 0.500
0.497 0.497 0.741
0.503 0.503 0.259
0.216 0.755 0.283
0.245 0.784 0.717
0.310 0.310 0.499
0.337 0.337 0.984
0.663 0.663 0.016
0.690 0.690 0.501
0.755 0.216 0.283
0.784 0.245 0.717

---

Entry 9:
Tl2Co2OsO6, relaxed, DFT PBE+U; total magnetization = 2.48 Bohr magnetons per cell; E_tot = -64.132 eV for the cell shown; mass density = 8.64 g/cm³
1.0
2.558 -4.495 0.000
2.558 4.495 0.000
-1.923 0.000 6.793
Tl Co Os O
2 2 1 6
Direct
0.166 0.834 0.000
0.834 0.166 0.000
0.333 0.667 0.500
0.667 0.333 0.500
0.000 0.000 0.500
0.048 0.393 0.645
0.282 0.282 0.355
0.393 0.048 0.645
0.607 0.952 0.355
0.718 0.718 0.645
0.952 0.607 0.355

---

Entry 10:
Tl3CoOs2O9, relaxed, DFT PBE+U; total magnetization = 2.96 Bohr magnetons per cell; E_tot = -91.806 eV for the cell shown; mass density = 10.12 g/cm³
1.0
5.682 0.000 0.000
-2.841 4.921 0.000
0.000 0.000 7.020
Tl Co Os O
3 1 2 9
Direct
0.000 0.000 0.000
0.333 0.667 0.647
0.667 0.333 0.353
0.000 0.000 0.500
0.333 0.667 0.162
0.667 0.333 0.838
0.000 0.500 0.000
0.176 0.352 0.316
0.176 0.824 0.316
0.352 0.176 0.684
0.500 0.000 0.000
0.500 0.500 0.000
0.648 0.824 0.316
0.824 0.176 0.684
0.824 0.648 0.684

---

Entry 11:
TlCoOsO6, relaxed, DFT PBE+U; total magnetization = 0.13 Bohr magnetons per cell; E_tot = -56.271 eV for the cell shown; mass density = 7.48 g/cm³
1.0
5.110 0.000 0.000
-2.555 4.426 0.000
0.000 0.000 5.396
Tl Co Os O
1 1 1 6
Direct
0.000 0.000 0.000
0.333 0.667 0.500
0.667 0.333 0.500
0.388 0.001 0.694
0.388 0.387 0.306
0.613 0.001 0.306
0.613 0.612 0.694
0.999 0.387 0.694
0.999 0.612 0.306